First-principles (PBE) data for Te2MoCI after structural relaxation, as listed in Alexandria.

* energy above the most stable polymorph in this dataset: 0.000 eV/atom
* E_form (uncorrected): 1.52 eV/atom
* electronic total energy: -4.06 eV per atom

Unit cell a=4.764 b=4.764 c=4.942 alpha=90.00 beta=90.00 gamma=90.00
Site moments in Bohr magnetons follow the coordinates.
Sites, in units of the cell vectors:
Te (0.500, 0.000, 0.000)  -0.10
Te (0.000, 0.500, 0.000)  -0.10
C (0.000, 0.000, 0.000)  -0.09
Mo (0.500, 0.500, 0.500)  3.06
I (0.000, 0.000, 0.500)  -0.06

=====

First-principles (PBE) data for AlTeAsOs2 after structural relaxation, as listed in Alexandria.

* energy above the most stable polymorph in this dataset: 0.403 eV/atom
* E_form (uncorrected): 1.70 eV/atom
* electronic total energy: -5.10 eV per atom

Unit cell a=4.605 b=4.904 c=4.605 alpha=90.00 beta=90.00 gamma=90.00
Site moments in Bohr magnetons follow the coordinates.
Sites, in units of the cell vectors:
Te (0.000, 0.500, 0.000)  0.02
Os (0.000, 0.000, 0.500)  0.41
Os (0.500, 0.000, 0.000)  0.35
As (0.500, 0.500, 0.500)  -0.05
Al (0.000, 0.000, 0.000)  -0.01

=====

First-principles (PBE) data for Ba2SnH6Pd after structural relaxation, as listed in Alexandria.

* electronic total energy: -3.62 eV per atom

Unit cell a=6.145 b=6.146 c=5.691 alpha=62.61 beta=62.61 gamma=98.69
Sites, in units of the cell vectors:
H (0.722, 0.722, 0.998)
H (0.278, 0.278, 0.002)
H (0.316, 0.684, 0.000)
H (0.723, 0.723, 0.559)
H (0.277, 0.277, 0.441)
H (0.684, 0.316, 0.000)
Ba (0.751, 0.249, 0.500)
Ba (0.249, 0.751, 0.500)
Pd (0.500, 0.500, 0.000)
Sn (0.000, 0.000, 0.000)

=====

First-principles (PBE) data for YHfFe3 after structural relaxation, as listed in Alexandria.

* energy above the most stable polymorph in this dataset: 0.000 eV/atom
* formation energy from the elements: 863.8 meV per atom
* electronic total energy: -7.50 eV per atom

Unit cell a=4.662 b=4.662 c=4.662 alpha=90.00 beta=90.00 gamma=90.00
Site moments in Bohr magnetons follow the coordinates.
Sites, in units of the cell vectors:
Y (0.500, 0.500, 0.500)  -0.19
Hf (0.000, 0.000, 0.000)  -0.49
Fe (0.000, 0.000, 0.500)  2.19
Fe (0.500, 0.000, 0.000)  1.88
Fe (0.000, 0.500, 0.000)  2.21

=====

First-principles (PBE) data for Cs2AgSeBr6 after structural relaxation, as listed in Alexandria.

* E_form (uncorrected): -0.80 eV/atom
* electronic total energy: -2.61 eV per atom

Unit cell a=7.825 b=7.825 c=14.152 alpha=73.95 beta=73.95 gamma=60.00
Sites, in units of the cell vectors:
Se (0.500, 0.500, 0.500)
Se (0.000, 0.000, 0.000)
Br (0.866, 0.374, 0.386)
Br (0.792, 0.792, 0.120)
Br (0.208, 0.208, 0.880)
Br (0.374, 0.374, 0.386)
Br (0.704, 0.208, 0.880)
Br (0.626, 0.134, 0.614)
Br (0.792, 0.296, 0.120)
Br (0.374, 0.866, 0.386)
Br (0.296, 0.792, 0.120)
Br (0.626, 0.626, 0.614)
Br (0.134, 0.626, 0.614)
Br (0.208, 0.704, 0.880)
Cs (0.298, 0.298, 0.107)
Cs (0.881, 0.881, 0.358)
Cs (0.119, 0.119, 0.642)
Cs (0.702, 0.702, 0.893)
Ag (0.413, 0.413, 0.761)
Ag (0.587, 0.587, 0.239)

=====

First-principles (PBE) data for ZrAl2Hg after structural relaxation, as listed in Alexandria.

* formation energy from the elements: -159.2 meV per atom
* electronic total energy: -4.24 eV per atom

Unit cell a=3.185 b=5.237 c=5.790 alpha=54.34 beta=90.00 gamma=90.00
Sites, in units of the cell vectors:
Al (0.000, 0.000, 0.000)
Al (0.500, 0.500, 0.000)
Zr (0.000, 0.000, 0.500)
Hg (0.500, 0.500, 0.500)

=====

Q: Which value of electronic total energy does entry 5 give?
A: -2.61 eV per atom

=====

Q: The highest electronic total energy belongs to which entry?
A: Cs2AgSeBr6

=====

Q: Which value of electronic total energy does entry 6 give?
A: -4.24 eV per atom

=====

Q: What is the formula in the first record?
A: Te2MoCI